A plane-wave DFT calculation with PBE-GGA was carried out for Yb2Sn2O7 after structural relaxation.

```
data_Yb2Sn2O7
_cell_length_a 7.4359
_cell_length_b 7.4359
_cell_length_c 7.4359
_cell_angle_alpha 60.00
_cell_angle_beta 60.00
_cell_angle_gamma 60.00
_symmetry_space_group_name_H-M 'P 1'
_symmetry_Int_Tables_number 1
_symmetry_space_group_name_Hall 'P 1'
loop_
_atom_site_label
_atom_site_fract_x
_atom_site_fract_y
_atom_site_fract_z
O1 0.4629 0.0371 0.4629
O2 0.0371 0.4629 0.4629
O3 0.5000 0.5000 0.5000
O4 0.2129 0.7871 0.2129
O5 0.2129 0.7871 0.7871
O6 0.7871 0.7871 0.2129
O7 0.4629 0.0371 0.0371
O8 0.7500 0.7500 0.7500
O9 0.0371 0.4629 0.0371
O10 0.2129 0.2129 0.7871
O11 0.4629 0.4629 0.0371
O12 0.7871 0.2129 0.7871
O13 0.0371 0.0371 0.4629
O14 0.7871 0.2129 0.2129
Sn1 0.6250 0.1250 0.1250
Sn2 0.1250 0.1250 0.1250
Sn3 0.1250 0.1250 0.6250
Sn4 0.1250 0.6250 0.1250
Yb1 0.6250 0.1250 0.6250
Yb2 0.6250 0.6250 0.1250
Yb3 0.6250 0.6250 0.6250
Yb4 0.1250 0.6250 0.6250
```

## Properties
symmetry = Fd-3m

A plane-wave DFT calculation with PBE-GGA was carried out for Yb3SnO after structural relaxation.

```
data_Yb3SnO
_cell_length_a 4.8297
_cell_length_b 4.8297
_cell_length_c 4.8297
_cell_angle_alpha 90.00
_cell_angle_beta 90.00
_cell_angle_gamma 90.00
_symmetry_space_group_name_H-M 'P 1'
_symmetry_Int_Tables_number 1
_symmetry_space_group_name_Hall 'P 1'
loop_
_atom_site_label
_atom_site_fract_x
_atom_site_fract_y
_atom_site_fract_z
Yb1 0.5000 0.5000 0.0000
Yb2 0.0000 0.5000 0.5000
Yb3 0.5000 0.0000 0.5000
O1 0.5000 0.5000 0.5000
Sn1 0.0000 0.0000 0.0000
```

## Properties
symmetry = Pm-3m

A plane-wave DFT calculation with PBE-GGA was carried out for Zn2Sn3O8 after structural relaxation.

```
data_Zn2Sn3O8
_cell_length_a 5.9146
_cell_length_b 5.9146
_cell_length_c 5.4719
_cell_angle_alpha 81.34
_cell_angle_beta 81.34
_cell_angle_gamma 63.36
_symmetry_space_group_name_H-M 'P 1'
_symmetry_Int_Tables_number 1
_symmetry_space_group_name_Hall 'P 1'
loop_
_atom_site_label
_atom_site_fract_x
_atom_site_fract_y
_atom_site_fract_z
O1 0.1037 0.6474 0.8626
O2 0.3526 0.8963 0.1374
O3 0.1042 0.1042 0.6375
O4 0.8958 0.8958 0.3625
O5 0.6474 0.1037 0.8626
O6 0.8963 0.3526 0.1374
O7 0.3930 0.3930 0.3707
O8 0.6070 0.6070 0.6293
Sn1 0.7435 0.2565 0.5000
Sn2 0.2565 0.7435 0.5000
Sn3 0.0000 0.0000 0.0000
Zn1 0.3014 0.3014 0.0748
Zn2 0.6986 0.6986 0.9252
```

## Properties
energy relative to the lowest polymorph listed for this composition = 0.018 eV/atom
symmetry = C2/m

A plane-wave DFT calculation with PBE-GGA was carried out for Zn6SnO6 after structural relaxation.

```
data_Zn6SnO6
_cell_length_a 5.7669
_cell_length_b 5.7669
_cell_length_c 5.7669
_cell_angle_alpha 90.00
_cell_angle_beta 90.00
_cell_angle_gamma 90.00
_symmetry_space_group_name_H-M 'P 1'
_symmetry_Int_Tables_number 1
_symmetry_space_group_name_Hall 'P 1'
loop_
_atom_site_label
_atom_site_fract_x
_atom_site_fract_y
_atom_site_fract_z
O1 0.5000 0.2506 0.0000
O2 0.0000 0.5000 0.7494
O3 0.5000 0.7494 0.0000
O4 0.7494 0.0000 0.5000
O5 0.2506 0.0000 0.5000
O6 0.0000 0.5000 0.2506
Zn1 0.0000 0.7479 0.5000
Zn2 0.5000 0.0000 0.7479
Zn3 0.5000 0.0000 0.2521
Zn4 0.2521 0.5000 0.0000
Zn5 0.7479 0.5000 0.0000
Zn6 0.0000 0.2521 0.5000
Sn1 0.0000 0.0000 0.0000
```

## Properties
symmetry = Pm-3

Short version: ρ = 7945 9637 6064 5257 kg/m3, in the order given.
Short version: final energy = -6.37 -4.32 -5.67 -4.24 eV/atom, in the order given.
Short version: energy relative to the elements, uncorrected = -2.21 -1.61 -1.50 -1.06 eV/atom, in the order given.